Record 1
First-principles (PBE) data for an optimized crystal structure of Ba4Bi2Sb, as listed in Alexandria via LeMat-Bulk.

Values from the calculation:
The calculation puts the electronic total energy at -3.458 eV/atom. The density of states at the Fermi level comes out at 0.8733 states/eV per atom. Its density is 4.84 g cm⁻³. The energy relative to the elements, uncorrected is -0.66 eV/atom.

Cell: 6.438 6.438 10.099 Å, 71.41 71.41 90.00°
Fractional coordinates of all 7 atoms:
Bi (0.379, 0.379, 0.242)
Bi (0.621, 0.621, 0.758)
Ba (0.000, 0.500, 0.000)
Ba (0.814, 0.814, 0.372)
Ba (0.186, 0.186, 0.628)
Ba (0.500, 0.000, 0.000)
Sb (0.000, 0.000, 0.000)



Record 2
First-principles (PBE) data for an optimized crystal structure of Er3Pd2Pb, as listed in Alexandria via LeMat-Bulk.

Values from the calculation:
The calculation puts the electronic total energy at -5.376 eV/atom. The density of states at the Fermi level comes out at 0.7776 states/eV per atom. Its density is 10.94 g cm⁻³. The value obtained for the formation energy is -4.5 eV per formula unit.

Cell: 3.539 3.539 11.178 Å, 90.00 90.00 90.00°
Fractional coordinates of all 6 atoms:
Pb (0.500, 0.500, 0.500)
Er (0.000, 0.000, 0.698)
Er (0.000, 0.000, 0.302)
Er (0.000, 0.000, 0.000)
Pd (0.500, 0.500, 0.846)
Pd (0.500, 0.500, 0.154)



Record 3
First-principles (PBE) data for an optimized crystal structure of Ce2Ga5Pd5, as listed in Alexandria via LeMat-Bulk.

Values from the calculation:
The calculation puts the electronic total energy at -5.144 eV/atom. The density of states at the Fermi level comes out at 1.0920 states/eV per atom. Its density is 8.81 g cm⁻³. The value obtained for the formation energy is -8.8 eV per formula unit.

Cell: 4.339 5.385 9.363 Å, 90.00 90.00 90.00°
Fractional coordinates of all 12 atoms:
Ga (0.500, 0.744, 0.236)
Ga (0.500, 0.500, 0.500)
Ga (0.500, 0.744, 0.764)
Ga (0.500, 0.256, 0.236)
Ga (0.500, 0.256, 0.764)
Ce (0.000, 0.000, 0.500)
Ce (0.000, 0.500, 0.000)
Pd (0.500, 0.000, 0.000)
Pd (0.000, 0.500, 0.662)
Pd (0.000, 0.500, 0.338)
Pd (0.000, 0.000, 0.190)
Pd (0.000, 0.000, 0.810)



Record 4
First-principles (PBE) data for an optimized crystal structure of Ba2LiZnRh, as listed in Alexandria via LeMat-Bulk.

Values from the calculation:
The calculation puts the electronic total energy at -2.983 eV/atom. The density of states at the Fermi level comes out at 0.4840 states/eV per atom. Its density is 4.14 g cm⁻³. The calculation puts the energy above the most stable polymorph in this dataset at 0 meV/atom. The value obtained for the formation energy is -0.5 eV per formula unit.

Cell: 6.055 6.055 4.924 Å, 90.00 90.00 90.00°
Fractional coordinates of all 5 atoms:
Ba (0.500, 0.000, 0.000)
Ba (0.000, 0.500, 0.000)
Li (0.500, 0.500, 0.500)
Zn (0.000, 0.000, 0.500)
Rh (0.000, 0.000, 0.000)



- Which of these has the lowest density?
  Ba2LiZnRh



- Look up the density of the fourth one.
  4.14 g cm⁻³



Please write out number 3 again, unchanged.
First-principles (PBE) data for an optimized crystal structure of Ce2Ga5Pd5, as listed in Alexandria via LeMat-Bulk.

Values from the calculation:
The calculation puts the electronic total energy at -5.144 eV/atom. The density of states at the Fermi level comes out at 1.0920 states/eV per atom. Its density is 8.81 g cm⁻³. The value obtained for the formation energy is -8.8 eV per formula unit.

Cell: 4.339 5.385 9.363 Å, 90.00 90.00 90.00°
Fractional coordinates of all 12 atoms:
Ga (0.500, 0.744, 0.236)
Ga (0.500, 0.500, 0.500)
Ga (0.500, 0.744, 0.764)
Ga (0.500, 0.256, 0.236)
Ga (0.500, 0.256, 0.764)
Ce (0.000, 0.000, 0.500)
Ce (0.000, 0.500, 0.000)
Pd (0.500, 0.000, 0.000)
Pd (0.000, 0.500, 0.662)
Pd (0.000, 0.500, 0.338)
Pd (0.000, 0.000, 0.190)
Pd (0.000, 0.000, 0.810)